[1]
A plane-wave DFT calculation with PBE was carried out for crystalline Tm6Ni2Te3P at its relaxed geometry.

Lattice parameters (Å, degrees): 6.9995 6.9995 7.4551 99.08 99.08 120.29
Closest atoms and distances in Å follow each position.
Element x y z (fractional)
Tm  0.9313  0.5916  0.7923  2 Ni 2.72-2.74, 1 P 2.79
Tm  0.7290  0.7290  0.2070  2 Ni 2.74, 1 P 2.79
Tm  0.0687  0.4084  0.2077  2 Ni 2.72-2.74, 1 P 2.79
Tm  0.5916  0.9313  0.7923  2 Ni 2.72-2.74, 1 P 2.79
Tm  0.2710  0.2710  0.7930  2 Ni 2.74, 1 P 2.79
Tm  0.4084  0.0687  0.2077  2 Ni 2.72-2.74, 1 P 2.79
Ni  0.3324  0.6676  0.0000  6 Tm 2.72-2.74
Ni  0.6676  0.3324  0.0000  6 Tm 2.72-2.74
Te  0.1633  0.8367  0.5000  6 Tm 3.11-3.13
Te  0.8367  0.1633  0.5000  6 Tm 3.11-3.13
Te  0.5000  0.5000  0.5000  6 Tm 3.09-3.13
P  0.0000  0.0000  0.0000  6 Tm 2.79

SG = C2/m
density of states at the Fermi level = 5.7 states/eV/cell
energy = -5.426 eV/atom
raw formation energy = -95.6 kJ per mole of atoms

[2]
A plane-wave DFT calculation with PBE was carried out for crystalline UNi4TeP2 at its relaxed geometry.

Lattice parameters (Å, degrees): 3.8446 3.8446 8.1937 90.00 90.00 90.00
Closest atoms and distances in Å follow each position.
Element x y z (fractional)
U  0.0000  0.0000  0.5000  8 P 2.95, 8 Ni 2.99
Ni  0.0000  0.5000  0.2211  2 P 2.23
Ni  0.5000  0.0000  0.7789  2 P 2.23
Ni  0.5000  0.0000  0.2211  2 P 2.23
Ni  0.0000  0.5000  0.7789  2 P 2.23
Te  0.0000  0.0000  0.0000  8 Ni 2.64
P  0.5000  0.5000  0.3597  4 Ni 2.23, 1 P 2.30
P  0.5000  0.5000  0.6403  4 Ni 2.23, 1 P 2.30

SG = P4/mmm
density of states at the Fermi level = 9.7 states/eV/cell
energy = -6.549 eV/atom
raw formation energy = -48.5 kJ per mole of atoms

[3]
A plane-wave DFT calculation with PBE was carried out for crystalline Th3Ni7P4 at its relaxed geometry.

Lattice parameters (Å, degrees): 3.9751 7.7911 7.7408 70.82 75.12 75.22
Closest atoms and distances in Å follow each position.
Element x y z (fractional)
Th  0.3174  0.1875  0.1778  10 Ni 2.89-3.15, 4 P 2.95
Th  0.6826  0.8125  0.8222  10 Ni 2.89-3.15, 4 P 2.95
Th  0.0000  0.5000  0.5000  6 P 2.90-2.99, 6 Ni 2.98-3.21
Ni  0.3161  0.8389  0.5288  4 P 2.43-2.54, 1 Ni 2.51
Ni  0.4966  0.2240  0.7829  3 P 2.35-2.45, 1 Ni 2.51
Ni  0.8448  0.3949  0.9155  3 P 2.33-2.44
Ni  0.6839  0.1611  0.4712  4 P 2.43-2.54, 1 Ni 2.51
Ni  0.1552  0.6051  0.0845  3 P 2.33-2.44
Ni  0.0000  0.0000  0.0000  2 P 2.40
Ni  0.5034  0.7760  0.2171  3 P 2.35-2.45, 1 Ni 2.51
P  0.6604  0.4653  0.2139  5 Ni 2.33-2.54
P  0.3396  0.5347  0.7861  5 Ni 2.33-2.54
P  0.8845  0.8968  0.3343  6 Ni 2.40-2.48
P  0.1155  0.1032  0.6657  6 Ni 2.40-2.48

SG = C2/m
density of states at the Fermi level = 6.9 states/eV/cell
energy = -6.879 eV/atom
formation energy from the elements = -19.7 kcal/mol of atoms

[4]
A plane-wave DFT calculation with PBE was carried out for crystalline ThNi4P2 at its relaxed geometry.

Lattice parameters (Å, degrees): 3.6739 7.2512 7.2512 90.00 90.00 90.00
Closest atoms and distances in Å follow each position.
Element x y z (fractional)
Th  0.5000  0.0000  0.0000  6 P 2.87-2.91, 12 Ni 3.14-3.20
Th  0.0000  0.5000  0.5000  6 P 2.87-2.91, 12 Ni 3.14-3.20
Ni  0.0000  0.0884  0.3401  3 P 2.34-2.40, 5 Ni 2.58-2.62
Ni  0.0000  0.9116  0.6599  3 P 2.34-2.40, 5 Ni 2.58-2.62
Ni  0.5000  0.1599  0.5884  3 P 2.34-2.40, 5 Ni 2.58-2.62
Ni  0.5000  0.8401  0.4116  3 P 2.34-2.40, 5 Ni 2.58-2.62
Ni  0.5000  0.4116  0.8401  3 P 2.34-2.40, 5 Ni 2.58-2.62
Ni  0.5000  0.5884  0.1599  3 P 2.34-2.40, 5 Ni 2.58-2.62
Ni  0.0000  0.3401  0.0884  3 P 2.34-2.40, 5 Ni 2.58-2.62
Ni  0.0000  0.6599  0.9116  3 P 2.34-2.40, 5 Ni 2.58-2.62
P  0.0000  0.2197  0.7803  6 Ni 2.34-2.40
P  0.0000  0.7803  0.2197  6 Ni 2.34-2.40
P  0.5000  0.7197  0.7197  6 Ni 2.34-2.40
P  0.5000  0.2803  0.2803  6 Ni 2.34-2.40

SG = P4_2/mnm
density of states at the Fermi level = 14.7 states/eV/cell
energy = -6.689 eV/atom
formation energy from the elements = -18.0 kcal/mol of atoms

[5]
A plane-wave DFT calculation with PBE was carried out for crystalline ThNi2P2 at its relaxed geometry.

Lattice parameters (Å, degrees): 3.9360 8.2668 9.8106 90.00 90.00 90.00
Closest atoms and distances in Å follow each position.
Element x y z (fractional)
Th  0.2500  0.2601  0.6697  7 P 2.92-3.10, 6 Ni 3.05-3.26
Th  0.7500  0.7399  0.3303  7 P 2.92-3.10, 6 Ni 3.05-3.26
Th  0.2500  0.7601  0.8303  7 P 2.92-3.10, 6 Ni 3.05-3.26
Th  0.7500  0.2399  0.1697  7 P 2.92-3.10, 6 Ni 3.05-3.26
Ni  0.7500  0.0823  0.4513  4 P 2.26-2.30
Ni  0.2500  0.9177  0.5487  4 P 2.26-2.30
Ni  0.7500  0.5823  0.0487  4 P 2.26-2.30
Ni  0.2500  0.4177  0.9513  4 P 2.26-2.30
Ni  0.2500  0.9528  0.1228  4 P 2.21-2.31
Ni  0.7500  0.0472  0.8772  4 P 2.21-2.31
Ni  0.2500  0.4528  0.3772  4 P 2.21-2.31
Ni  0.7500  0.5472  0.6228  4 P 2.21-2.31
P  0.2500  0.1442  0.9509  4 Ni 2.24-2.31
P  0.7500  0.8558  0.0491  4 Ni 2.24-2.31
P  0.2500  0.6442  0.5491  4 Ni 2.24-2.31
P  0.7500  0.3558  0.4509  4 Ni 2.24-2.31
P  0.2500  0.5297  0.1614  4 Ni 2.21-2.30
P  0.7500  0.4703  0.8386  4 Ni 2.21-2.30
P  0.2500  0.0297  0.3386  4 Ni 2.21-2.30
P  0.7500  0.9703  0.6614  4 Ni 2.21-2.30

SG = Pnma
density of states at the Fermi level = 9.6 states/eV/cell
energy = -7.003 eV/atom
formation energy from the elements = -24.0 kcal/mol of atoms

[6]
A plane-wave DFT calculation with PBE was carried out for crystalline Th2Ni3P at its relaxed geometry.

Lattice parameters (Å, degrees): 5.6165 5.6165 8.1628 111.89 111.89 85.19
Closest atoms and distances in Å follow each position.
Element x y z (fractional)
Th  0.7500  0.2500  0.5000  8 Ni 2.98-3.02, 4 P 3.05
Th  0.7586  0.2414  0.0000  10 Ni 3.03-3.08, 2 P 3.06
Th  0.2500  0.7500  0.5000  8 Ni 2.98-3.02, 4 P 3.05
Th  0.2414  0.7586  0.0000  10 Ni 3.03-3.08, 2 P 3.06
Ni  0.8278  0.8278  0.1748  1 P 2.28, 2 Ni 2.45-2.46
Ni  0.6531  0.6531  0.8252  1 P 2.28, 2 Ni 2.45-2.46
Ni  0.1722  0.1722  0.8252  1 P 2.28, 2 Ni 2.45-2.46
Ni  0.3469  0.3469  0.1748  1 P 2.28, 2 Ni 2.45-2.46
Ni  0.1714  0.1714  0.3427  1 P 2.28, 2 Ni 2.45
Ni  0.8286  0.8286  0.6573  1 P 2.28, 2 Ni 2.45
P  0.6664  0.6664  0.3327  3 Ni 2.28
P  0.3336  0.3336  0.6673  3 Ni 2.28

SG = Fmmm
density of states at the Fermi level = 9.4 states/eV/cell
energy = -7.059 eV/atom
formation energy from the elements = -18.3 kcal/mol of atoms

[7]
A plane-wave DFT calculation with PBE was carried out for crystalline ThNi6P2 at its relaxed geometry.

Lattice parameters (Å, degrees): 3.9974 3.9974 7.5077 90.00 90.00 90.00
Closest atoms and distances in Å follow each position.
Element x y z (fractional)
Th  0.0000  0.0000  0.0000  8 Ni 3.03, 8 P 3.10
Ni  0.0000  0.5000  0.3033  2 P 2.23, 4 Ni 2.48
Ni  0.5000  0.0000  0.3033  2 P 2.23, 4 Ni 2.48
Ni  0.0000  0.5000  0.6967  2 P 2.23, 4 Ni 2.48
Ni  0.5000  0.0000  0.6967  2 P 2.23, 4 Ni 2.48
Ni  0.5000  0.5000  0.5000  2 P 2.47, 8 Ni 2.48
Ni  0.0000  0.0000  0.5000  8 Ni 2.48
P  0.5000  0.5000  0.1707  5 Ni 2.23-2.47
P  0.5000  0.5000  0.8293  5 Ni 2.23-2.47

SG = P4/mmm
density of states at the Fermi level = 12.4 states/eV/cell
energy = -6.406 eV/atom
formation energy from the elements = -12.1 kcal/mol of atoms

[8]
A plane-wave DFT calculation with PBE was carried out for crystalline ThNiP3 at its relaxed geometry.

Lattice parameters (Å, degrees): 5.4084 5.4783 11.8396 90.00 90.00 90.00
Closest atoms and distances in Å follow each position.
Element x y z (fractional)
Th  0.7500  0.4958  0.6949  9 P 2.91-3.01
Th  0.2500  0.5042  0.3051  9 P 2.91-3.01
Th  0.7500  0.9958  0.3051  9 P 2.91-3.01
Th  0.2500  0.0042  0.6949  9 P 2.91-3.01
Ni  0.5000  0.2500  0.0767  6 P 2.26-2.49
Ni  0.0000  0.7500  0.9233  6 P 2.26-2.49
Ni  0.5000  0.7500  0.9233  6 P 2.26-2.49
Ni  0.0000  0.2500  0.0767  6 P 2.26-2.49
P  0.0000  0.2500  0.4996  4 P 2.70-2.74, 4 Th 3.00-3.01
P  0.5000  0.7500  0.5004  4 P 2.70-2.74, 4 Th 3.00-3.01
P  0.0000  0.7500  0.5004  4 P 2.70-2.74, 4 Th 3.00-3.01
P  0.5000  0.2500  0.4996  4 P 2.70-2.74, 4 Th 3.00-3.01
P  0.2500  0.1005  0.9399  4 Ni 2.26-2.36
P  0.7500  0.8995  0.0601  4 Ni 2.26-2.36
P  0.2500  0.6005  0.0601  4 Ni 2.26-2.36
P  0.7500  0.3995  0.9399  4 Ni 2.26-2.36
P  0.2500  0.5086  0.7863  2 Ni 2.49
P  0.7500  0.4914  0.2137  2 Ni 2.49
P  0.2500  0.0086  0.2137  2 Ni 2.49
P  0.7500  0.9914  0.7863  2 Ni 2.49

SG = Pbcm
density of states at the Fermi level = 7.8 states/eV/cell
energy = -6.616 eV/atom
formation energy from the elements = -16.8 kcal/mol of atoms

[9]
A plane-wave DFT calculation with PBE was carried out for crystalline ThNi12P6 at its relaxed geometry.

Lattice parameters (Å, degrees): 6.4548 6.4548 6.4548 103.99 103.99 103.99
Closest atoms and distances in Å follow each position.
Element x y z (fractional)
Th  0.0000  0.0000  0.0000  18 Ni 3.29-3.48, 6 P 3.31
Ni  0.8731  0.1269  0.5000  4 P 2.21-2.22
Ni  0.8211  0.5514  0.5514  3 P 2.27-2.29
Ni  0.5514  0.5514  0.8211  3 P 2.27-2.29
Ni  0.4486  0.1789  0.4486  3 P 2.27-2.29
Ni  0.4486  0.4486  0.1789  3 P 2.27-2.29
Ni  0.1789  0.4486  0.4486  3 P 2.27-2.29
Ni  0.1269  0.5000  0.8731  4 P 2.21-2.22
Ni  0.5000  0.8731  0.1269  4 P 2.21-2.22
Ni  0.1269  0.8731  0.5000  4 P 2.21-2.22
Ni  0.8731  0.5000  0.1269  4 P 2.21-2.22
Ni  0.5000  0.1269  0.8731  4 P 2.21-2.22
Ni  0.5514  0.8211  0.5514  3 P 2.27-2.29
P  0.6796  0.2389  0.2389  7 Ni 2.21-2.29
P  0.2389  0.2389  0.6796  7 Ni 2.21-2.29
P  0.2389  0.6796  0.2389  7 Ni 2.21-2.29
P  0.7611  0.7611  0.3204  7 Ni 2.21-2.29
P  0.3204  0.7611  0.7611  7 Ni 2.21-2.29
P  0.7611  0.3204  0.7611  7 Ni 2.21-2.29

SG = R-3m
density of states at the Fermi level = 12.0 states/eV/cell
energy = -6.287 eV/atom
formation energy from the elements = -12.4 kcal/mol of atoms

[10]
A plane-wave DFT calculation with PBE was carried out for crystalline Th2Ni12P7 at its relaxed geometry.

Lattice parameters (Å, degrees): 3.7908 9.1052 9.1052 120.00 90.00 90.00
Closest atoms and distances in Å follow each position.
Element x y z (fractional)
Th  0.5000  0.0000  0.0000  6 P 2.97, 9 Ni 2.99-3.13
Th  0.0000  0.6667  0.3333  6 P 2.99, 12 Ni 3.06-3.23
Ni  0.5000  0.9034  0.6181  4 P 2.30-2.42
Ni  0.5000  0.7147  0.0966  4 P 2.30-2.42
Ni  0.5000  0.3819  0.2853  4 P 2.30-2.42
Ni  0.5000  0.2372  0.7815  3 P 2.27-2.52
Ni  0.5000  0.5442  0.7628  3 P 2.27-2.52
Ni  0.5000  0.2185  0.4558  3 P 2.27-2.52
Ni  0.0000  0.0605  0.5402  4 P 2.15-2.34
Ni  0.0000  0.4797  0.9395  4 P 2.15-2.34
Ni  0.0000  0.4598  0.5203  4 P 2.15-2.34
Ni  0.0000  0.7687  0.7283  4 P 2.29-2.35, 1 Ni 2.48
Ni  0.0000  0.9596  0.2313  4 P 2.29-2.35, 1 Ni 2.48
Ni  0.0000  0.2717  0.0404  4 P 2.29-2.35, 1 Ni 2.48
P  0.0000  0.3333  0.6667  3 Ni 2.15
P  0.0000  0.0387  0.7708  5 Ni 2.21-2.31
P  0.0000  0.7321  0.9613  5 Ni 2.21-2.31
P  0.0000  0.2292  0.2679  5 Ni 2.21-2.31
P  0.5000  0.6286  0.5662  7 Ni 2.27-2.42
P  0.5000  0.9376  0.3714  7 Ni 2.27-2.42
P  0.5000  0.4338  0.0624  7 Ni 2.27-2.42

SG = P-6
density of states at the Fermi level = 13.9 states/eV/cell
energy = -6.559 eV/atom
formation energy from the elements = -17.2 kcal/mol of atoms